VASP calculation (PBE) on an optimized crystal structure of CdGaI6.

Cell and atoms, written as CIF:
```
data_CdGaI6
_chemical_formula_sum 'Cd1 Ga1 I6'
_symmetry_space_group_name_H-M 'P 1'
_symmetry_Int_Tables_number 1
_cell_length_a 7.667
_cell_length_b 7.667
_cell_length_c 7.483
_cell_angle_alpha 100.88
_cell_angle_beta 100.88
_cell_angle_gamma 122.85
loop_
_symmetry_equiv_pos_as_xyz
'x,y,z'
loop_
_atom_site_label
_atom_site_type_symbol
_atom_site_fract_x
_atom_site_fract_y
_atom_site_fract_z
Cd1 Cd 0.000 0.000 0.000
Ga1 Ga 0.500 0.500 0.500
I1 I 0.140 0.434 0.242
I2 I 0.211 0.211 0.685
I3 I 0.434 0.140 0.242
I4 I 0.566 0.860 0.758
I5 I 0.789 0.789 0.315
I6 I 0.860 0.566 0.758
```

Calculated values
Uncorrected formation energy = -0.283 eV per atom
DOS(E_F) = 0.008 states/eV per atom